[1]
The following is a DFT calculation (PBE-GGA) of crystalline CsTlZnCl6 at its relaxed geometry.

abc: 6.6917 6.6917 7.8384
angles: 90.00 90.00 120.00
With the nearest neighbours (Å) after each atom.
Space group P312 (No. 149)
One atom of each set of equivalent atoms:
Cs (0.0000, 0.0000, 0.0000) [1 per cell]  6 Cl 3.51
Tl (0.6667, 0.3333, 0.5000) [1 per cell]  6 Cl 2.64
Zn (0.3333, 0.6667, 0.5000) [1 per cell]  6 Cl 2.50
Cl (0.0158, 0.3848, 0.6888) [6 per cell]  1 Zn 2.50, 1 Tl 2.64

Results
- volume (Å³/cell) = 304.0
- formation energy from raw total energies (eV/atom) = -1.1322

[2]
The following is a DFT calculation (PBE-GGA) of crystalline Cs3TlZn2Cl8 at its relaxed geometry.

abc: 7.7680 7.7680 9.8520
angles: 90.00 90.00 120.00
With the nearest neighbours (Å) after each atom.
Space group P-3m1 (No. 164)
One atom of each set of equivalent atoms:
Cs (0.0000, 0.0000, 0.0000) [1 per cell]  6 Cl 3.79
Cs (0.3333, 0.6667, 0.6377) [2 per cell]  1 Cl 3.34
Tl (0.0000, 0.0000, 0.5000) [1 per cell]  6 Cl 3.09
Zn (0.3333, 0.6667, 0.2029) [2 per cell]  4 Cl 2.22-2.31
Cl (0.1766, 0.3533, 0.2994) [6 per cell]  1 Zn 2.31
Cl (0.3333, 0.6667, 0.9771) [2 per cell]  1 Zn 2.22

Results
- volume (Å³/cell) = 514.8
- formation energy from raw total energies (eV/atom) = -1.5321

[3]
The following is a DFT calculation (PBE-GGA) of crystalline Cs2TlZnCl6 at its relaxed geometry.

abc: 7.5305 7.5305 10.6788
angles: 90.00 90.00 90.00
With the nearest neighbours (Å) after each atom.
Space group I4/mmm (No. 139)
One atom of each set of equivalent atoms:
Cs (0.0000, 0.5000, 0.2500) [4 per cell]  12 Cl 3.77
Tl (0.0000, 0.0000, 0.0000) [2 per cell]  6 Cl 2.84
Zn (0.0000, 0.0000, 0.5000) [2 per cell]  6 Cl 2.49-2.50
Cl (0.0000, 0.0000, 0.2659) [4 per cell]  1 Zn 2.50
Cl (0.2337, 0.2337, 0.5000) [8 per cell]  1 Zn 2.49

Results
- volume (Å³/cell) = 605.6
- formation energy from raw total energies (eV/atom) = -1.3629

The lowest volume belongs to which entry?
CsTlZnCl6

formation energy from raw total energies of number 3 (Cs2TlZnCl6)?
-1.3629 eV/atom